# 1
Below is crystalline Tb3In3CuNiPt at its relaxed geometry, with properties calculated at the PBE level.

Its energy is -4.819 eV per atom.

It has space group P-6 (No. 174), with a = 7.5769 Å, b = 7.5769 Å, c = 3.8520 Å, α = 90.00°, β = 90.00° and γ = 120.00°. The asymmetric unit holds Tb at (0.0023, 0.5880, 0.0000), In at (0.0076, 0.2575, 0.5000), Cu at (0.0000, 0.0000, 0.0000), Ni at (0.3333, 0.6667, 0.5000) and Pt at (0.6667, 0.3333, 0.5000).


# 2
Below is crystalline ZrCo2Pd at its relaxed geometry, with properties calculated at the PBE level.

Its formation energy is -0.096 eV per atom.

It has space group F-43m (No. 216), with a = 6.194 Å, b = 6.194 Å, c = 6.194 Å, α = 90.00°, β = 90.00° and γ = 90.00°. The asymmetric unit holds Zr at (0.000, 0.000, 0.000), Co at (0.000, 0.000, 0.500), Co at (0.250, 0.250, 0.250) and Pd at (0.250, 0.250, 0.750).


# 3
Below is crystalline NpAlOs at its relaxed geometry, with properties calculated at the PBE level.

Its energy is -9.162 eV per atom.

It has space group F-43m (No. 216), with a = 6.296 Å, b = 6.296 Å, c = 6.296 Å, α = 90.00°, β = 90.00° and γ = 90.00°. The asymmetric unit holds Np at (0.000, 0.000, 0.000), Al at (0.000, 0.000, 0.500) and Os at (0.250, 0.250, 0.750).


# 4
Below is crystalline NaLuHg at its relaxed geometry, with properties calculated at the PBE level.

The calculation puts the energy above the most stable polymorph in this dataset at 0 meV/atom.

It has space group F-43m (No. 216), with a = 7.065 Å, b = 7.065 Å, c = 7.065 Å, α = 90.00°, β = 90.00° and γ = 90.00°. The asymmetric unit holds Na at (0.000, 0.000, 0.000), Lu at (0.000, 0.000, 0.500) and Hg at (0.250, 0.250, 0.750).


# 5
Below is crystalline LiLuNiBi at its relaxed geometry, with properties calculated at the PBE level.

The calculation puts the energy above the most stable polymorph in this dataset at 0 meV/atom.

It has space group F-43m (No. 216), with a = 6.688 Å, b = 6.688 Å, c = 6.688 Å, α = 90.00°, β = 90.00° and γ = 90.00°. The asymmetric unit holds Li at (0.000, 0.000, 0.000), Lu at (0.250, 0.250, 0.750), Ni at (0.000, 0.000, 0.500) and Bi at (0.250, 0.250, 0.250).


# 6
Below is crystalline SiAsOsO at its relaxed geometry, with properties calculated at the PBE level.

The calculation puts the energy above the most stable polymorph in this dataset at 7 meV/atom.

It has space group P4/nmm (No. 129, origin choice 2), with a = 3.675 Å, b = 3.675 Å, c = 9.495 Å, α = 90.00°, β = 90.00° and γ = 90.00°. The asymmetric unit holds Si at (0.250, 0.250, 0.095), As at (0.250, 0.250, 0.681), Os at (0.250, 0.750, 0.500) and O at (0.250, 0.750, 0.000).


# 7
Below is crystalline Si2Os at its relaxed geometry, with properties calculated at the PBE level.

Its energy is -6.597 eV per atom.

It has space group Fd-3m (No. 227, origin choice 2), with a = 6.812 Å, b = 6.812 Å, c = 6.812 Å, α = 90.00°, β = 90.00° and γ = 90.00°. The asymmetric unit holds Si at (0.000, 0.000, 0.000) and Os at (0.125, 0.125, 0.625).


# 8
Below is crystalline Y3Ag4Sn4 at its relaxed geometry, with properties calculated at the PBE level.

Its energy is -4.752 eV per atom.

It has space group Immm (No. 71), with a = 4.581 Å, b = 7.342 Å, c = 15.266 Å, α = 90.00°, β = 90.00° and γ = 90.00°. The asymmetric unit holds Y at (0.000, 0.000, 0.000), Y at (0.000, 0.500, 0.127), Ag at (0.000, 0.301, 0.328), Sn at (0.000, 0.000, 0.214) and Sn at (0.000, 0.197, 0.500).


# 9
Below is crystalline LuFeNiBi at its relaxed geometry, with properties calculated at the PBE level.

The calculation puts the energy above the most stable polymorph in this dataset at 0 meV/atom.

It has space group F-43m (No. 216), with a = 6.539 Å, b = 6.539 Å, c = 6.539 Å, α = 90.00°, β = 90.00° and γ = 90.00°. The asymmetric unit holds Lu at (0.000, 0.000, 0.000), Fe at (0.250, 0.250, 0.750), Ni at (0.250, 0.250, 0.250) and Bi at (0.000, 0.000, 0.500).


# 10
Below is crystalline SrAgSF at its relaxed geometry, with properties calculated at the PBE level.

Its energy is -4.661 eV per atom.

It has space group P4/nmm (No. 129, origin choice 2), with a = 4.079 Å, b = 4.079 Å, c = 9.011 Å, α = 90.00°, β = 90.00° and γ = 90.00°. The asymmetric unit holds Sr at (0.250, 0.250, 0.158), Ag at (0.250, 0.750, 0.500), S at (0.250, 0.250, 0.694) and F at (0.250, 0.750, 0.000).


# 11
Below is crystalline NiIr at its relaxed geometry, with properties calculated at the PBE level.

Its formation energy is 1.349 eV per atom.

It has space group P6_3mc (No. 186), with a = 3.7406 Å, b = 3.7406 Å, c = 6.1481 Å, α = 90.00°, β = 90.00° and γ = 120.00°. The asymmetric unit holds Ni at (0.3333, 0.6667, 0.0000) and Ir at (0.3333, 0.6667, 0.6280).


# 12
Below is crystalline Zr6TlHg5 at its relaxed geometry, with properties calculated at the PBE level.

Its energy is -4.754 eV per atom.

It has space group Cmmm (No. 65), with a = 4.499 Å, b = 13.481 Å, c = 8.579 Å, α = 90.00°, β = 90.00° and γ = 90.00°. The asymmetric unit holds Zr at (0.000, 0.000, 0.248), Zr at (0.000, 0.333, 0.249), Tl at (0.000, 0.500, 0.500), Hg at (0.000, 0.167, 0.000), Hg at (0.000, 0.168, 0.500) and Hg at (0.000, 0.500, 0.000).